# GGA-PBE RbScWS2, optimized geometry
# total magnetization: 4.85 μB/f.u.
# energy relative to the elements, uncorrected: 2.035 eV/atom
# total energy: -18.33 eV per formula unit
# symmetry: P4/mmm (123)
data_RbScWS2
_symmetry_space_group_name_H-M 'P 1'
_symmetry_Int_Tables_number 1
_symmetry_space_group_name_Hall 'P 1'
_cell_length_a 5.480
_cell_length_b 5.480
_cell_length_c 5.256
_cell_angle_alpha 90.00
_cell_angle_beta 90.00
_cell_angle_gamma 90.00
loop_
_atom_site_label
_atom_site_type_symbol
_atom_site_fract_x
_atom_site_fract_y
_atom_site_fract_z
Rb1 Rb 0.000 0.000 0.000
Sc1 Sc 0.500 0.500 0.500
W1 W 0.000 0.000 0.500
S1 S 0.000 0.500 0.000
S2 S 0.500 0.000 0.000


# GGA-PBE Rb3Y2ScS6, optimized geometry
# total magnetization: 0.00 μB/f.u.
# energy relative to the elements, uncorrected: -1.804 eV/atom
# total energy: -68.57 eV per formula unit
# symmetry: C2/m (12)
data_Rb3Y2ScS6
_symmetry_space_group_name_H-M 'P 1'
_symmetry_Int_Tables_number 1
_symmetry_space_group_name_Hall 'P 1'
_cell_length_a 6.955
_cell_length_b 6.955
_cell_length_c 8.007
_cell_angle_alpha 98.33
_cell_angle_beta 98.33
_cell_angle_gamma 120.00
loop_
_atom_site_label
_atom_site_type_symbol
_atom_site_fract_x
_atom_site_fract_y
_atom_site_fract_z
Rb1 Rb 0.000 0.000 0.000
Rb2 Rb 0.332 0.668 0.000
Rb3 Rb 0.668 0.332 0.000
Y1 Y 0.167 0.833 0.500
Y2 Y 0.833 0.167 0.500
Sc1 Sc 0.500 0.500 0.500
S1 S 0.116 0.437 0.311
S2 S 0.242 0.242 0.689
S3 S 0.437 0.116 0.311
S4 S 0.563 0.884 0.689
S5 S 0.758 0.758 0.311
S6 S 0.884 0.563 0.689


# GGA-PBE Rb2ScZn2S4, optimized geometry
# total magnetization: 0.00 μB/f.u.
# energy relative to the elements, uncorrected: -1.108 eV/atom
# total energy: -37.29 eV per formula unit
# symmetry: C2/m (12)
data_Rb2ScZn2S4
_symmetry_space_group_name_H-M 'P 1'
_symmetry_Int_Tables_number 1
_symmetry_space_group_name_Hall 'P 1'
_cell_length_a 8.017
_cell_length_b 8.017
_cell_length_c 8.024
_cell_angle_alpha 112.13
_cell_angle_beta 112.13
_cell_angle_gamma 27.57
loop_
_atom_site_label
_atom_site_type_symbol
_atom_site_fract_x
_atom_site_fract_y
_atom_site_fract_z
Rb1 Rb 0.128 0.128 0.060
Rb2 Rb 0.872 0.872 0.940
Sc1 Sc 0.000 0.000 0.500
Zn1 Zn 0.320 0.320 0.481
Zn2 Zn 0.680 0.680 0.519
S1 S 0.180 0.180 0.699
S2 S 0.472 0.472 0.703
S3 S 0.528 0.528 0.297
S4 S 0.820 0.820 0.301


# GGA-PBE Rb3Zr3ScS8, optimized geometry
# total magnetization: 0.00 μB/f.u.
# energy relative to the elements, uncorrected: -1.587 eV/atom
# total energy: -91.71 eV per formula unit
# symmetry: R-3m (166)
data_Rb3Zr3ScS8
_symmetry_space_group_name_H-M 'P 1'
_symmetry_Int_Tables_number 1
_symmetry_space_group_name_Hall 'P 1'
_cell_length_a 8.989
_cell_length_b 8.989
_cell_length_c 8.989
_cell_angle_alpha 49.29
_cell_angle_beta 49.29
_cell_angle_gamma 49.29
loop_
_atom_site_label
_atom_site_type_symbol
_atom_site_fract_x
_atom_site_fract_y
_atom_site_fract_z
Rb1 Rb 0.000 0.500 0.500
Rb2 Rb 0.500 0.000 0.500
Rb3 Rb 0.500 0.500 0.000
Zr1 Zr 0.000 0.000 0.500
Zr2 Zr 0.000 0.500 0.000
Zr3 Zr 0.500 0.000 0.000
Sc1 Sc 0.500 0.500 0.500
S1 S 0.227 0.729 0.729
S2 S 0.230 0.230 0.230
S3 S 0.271 0.271 0.773
S4 S 0.271 0.773 0.271
S5 S 0.729 0.227 0.729
S6 S 0.729 0.729 0.227
S7 S 0.770 0.770 0.770
S8 S 0.773 0.271 0.271


# GGA-PBE Rb2ZrSc2S6, optimized geometry
# total magnetization: 0.00 μB/f.u.
# energy relative to the elements, uncorrected: -1.718 eV/atom
# total energy: -66.81 eV per formula unit
# symmetry: C2/m (12)
data_Rb2ZrSc2S6
_symmetry_space_group_name_H-M 'P 1'
_symmetry_Int_Tables_number 1
_symmetry_space_group_name_Hall 'P 1'
_cell_length_a 6.538
_cell_length_b 6.538
_cell_length_c 8.156
_cell_angle_alpha 97.77
_cell_angle_beta 97.77
_cell_angle_gamma 119.98
loop_
_atom_site_label
_atom_site_type_symbol
_atom_site_fract_x
_atom_site_fract_y
_atom_site_fract_z
Rb1 Rb 0.167 0.833 0.000
Rb2 Rb 0.833 0.167 0.000
Zr1 Zr 0.000 0.000 0.500
Sc1 Sc 0.333 0.667 0.500
Sc2 Sc 0.667 0.333 0.500
S1 S 0.062 0.392 0.681
S2 S 0.271 0.271 0.319
S3 S 0.392 0.062 0.681
S4 S 0.608 0.938 0.319
S5 S 0.729 0.729 0.681
S6 S 0.938 0.608 0.319


# GGA-PBE RbSe2S3, optimized geometry
# total magnetization: 0.33 μB/f.u.
# energy relative to the elements, uncorrected: -0.204 eV/atom
# total energy: -21.54 eV per formula unit
# symmetry: P-1 (2)
data_RbSe2S3
_symmetry_space_group_name_H-M 'P 1'
_symmetry_Int_Tables_number 1
_symmetry_space_group_name_Hall 'P 1'
_cell_length_a 4.450
_cell_length_b 9.499
_cell_length_c 9.678
_cell_angle_alpha 82.76
_cell_angle_beta 89.27
_cell_angle_gamma 87.65
loop_
_atom_site_label
_atom_site_type_symbol
_atom_site_fract_x
_atom_site_fract_y
_atom_site_fract_z
Rb1 Rb 0.250 0.214 0.232
Rb2 Rb 0.750 0.786 0.768
Se1 Se 0.157 0.599 0.316
Se2 Se 0.236 0.902 0.039
Se3 Se 0.764 0.098 0.961
Se4 Se 0.843 0.401 0.684
S1 S 0.201 0.667 0.083
S2 S 0.240 0.526 0.666
S3 S 0.318 0.944 0.495
S4 S 0.682 0.056 0.505
S5 S 0.760 0.474 0.334
S6 S 0.799 0.333 0.917


# GGA-PBE Rb2SeS4, optimized geometry
# distance to the lowest polymorph of the same formula: 66 meV/atom
# total magnetization: 0.00 μB/f.u.
# energy relative to the elements, uncorrected: -0.138 eV/atom
# total energy: -22.89 eV per formula unit
# symmetry: I4/mmm (139)
data_Rb2SeS4
_symmetry_space_group_name_H-M 'P 1'
_symmetry_Int_Tables_number 1
_symmetry_space_group_name_Hall 'P 1'
_cell_length_a 9.033
_cell_length_b 9.033
_cell_length_c 9.033
_cell_angle_alpha 147.89
_cell_angle_beta 147.89
_cell_angle_gamma 46.04
loop_
_atom_site_label
_atom_site_type_symbol
_atom_site_fract_x
_atom_site_fract_y
_atom_site_fract_z
Rb1 Rb 0.147 0.147 0.000
Rb2 Rb 0.853 0.853 0.000
Se1 Se 0.500 0.500 0.000
S1 S 0.000 0.500 0.500
S2 S 0.356 0.356 0.000
S3 S 0.500 0.000 0.500
S4 S 0.644 0.644 0.000


# GGA-PBE RbSe4S, optimized geometry
# total magnetization: 0.00 μB/f.u.
# energy relative to the elements, uncorrected: -0.265 eV/atom
# total energy: -20.62 eV per formula unit
# symmetry: P1 (1)
data_RbSe4S
_symmetry_space_group_name_H-M 'P 1'
_symmetry_Int_Tables_number 1
_symmetry_space_group_name_Hall 'P 1'
_cell_length_a 5.327
_cell_length_b 5.405
_cell_length_c 8.602
_cell_angle_alpha 99.93
_cell_angle_beta 103.81
_cell_angle_gamma 103.68
loop_
_atom_site_label
_atom_site_type_symbol
_atom_site_fract_x
_atom_site_fract_y
_atom_site_fract_z
Rb1 Rb 0.000 0.000 0.000
Se1 Se 0.283 0.991 0.613
Se2 Se 0.519 0.354 0.846
Se3 Se 0.555 0.773 0.361
Se4 Se 0.950 0.140 0.442
S1 S 0.425 0.624 0.082


# GGA-PBE Rb2Se2S5, optimized geometry
# total magnetization: 0.00 μB/f.u.
# energy relative to the elements, uncorrected: -0.259 eV/atom
# total energy: -31.87 eV per formula unit
# symmetry: C2/m (12)
data_Rb2Se2S5
_symmetry_space_group_name_H-M 'P 1'
_symmetry_Int_Tables_number 1
_symmetry_space_group_name_Hall 'P 1'
_cell_length_a 8.077
_cell_length_b 8.077
_cell_length_c 8.279
_cell_angle_alpha 109.82
_cell_angle_beta 109.82
_cell_angle_gamma 35.50
loop_
_atom_site_label
_atom_site_type_symbol
_atom_site_fract_x
_atom_site_fract_y
_atom_site_fract_z
Rb1 Rb 0.062 0.062 0.309
Rb2 Rb 0.938 0.938 0.691
Se1 Se 0.350 0.350 0.069
Se2 Se 0.650 0.650 0.931
S1 S 0.172 0.172 0.019
S2 S 0.408 0.408 0.347
S3 S 0.500 0.500 0.000
S4 S 0.592 0.592 0.653
S5 S 0.828 0.828 0.981


# GGA-PBE Rb2SeS4, optimized geometry
# distance to the lowest polymorph of the same formula: 0 meV/atom
# total magnetization: 0.00 μB/f.u.
# energy relative to the elements, uncorrected: -0.204 eV/atom
# total energy: -23.36 eV per formula unit
# symmetry: I4mm (107)
data_Rb2SeS4
_symmetry_space_group_name_H-M 'P 1'
_symmetry_Int_Tables_number 1
_symmetry_space_group_name_Hall 'P 1'
_cell_length_a 7.082
_cell_length_b 7.082
_cell_length_c 7.082
_cell_angle_alpha 118.37
_cell_angle_beta 118.37
_cell_angle_gamma 92.85
loop_
_atom_site_label
_atom_site_type_symbol
_atom_site_fract_x
_atom_site_fract_y
_atom_site_fract_z
Rb1 Rb 0.000 0.500 0.500
Rb2 Rb 0.500 0.000 0.500
Se1 Se 0.319 0.319 0.000
S1 S 0.034 0.034 0.577
S2 S 0.034 0.458 0.000
S3 S 0.458 0.034 0.000
S4 S 0.458 0.458 0.423